[1]
# TlSnPb2Br | Alexandria via LeMat-Bulk | PBE | relaxed
# Distance to the lowest polymorph of the same formula: 172 meV/atom
# Symmetry: P1, No. 1
# Formation energy (no corrections): -0.047 eV/atom
data_TlSnPb2Br
_chemical_formula_sum 'Tl1 Sn1 Pb2 Br1'
_cell_length_a 5.653
_cell_length_b 6.271
_cell_length_c 6.367
_cell_angle_alpha 93.50
_cell_angle_beta 116.80
_cell_angle_gamma 116.78
_symmetry_space_group_name_H-M 'P 1'
_symmetry_Int_Tables_number 1
loop_
_symmetry_equiv_pos_as_xyz
'x,y,z'
loop_
_atom_site_label
_atom_site_fract_x
_atom_site_fract_y
_atom_site_fract_z
Pb1 0.858 0.202 0.240
Pb2 0.645 0.639 0.371
Tl1 0.134 0.160 0.838
Sn1 0.366 0.723 0.724
Br1 0.339 0.026 0.375

[2]
# TaPdS2 | Alexandria via LeMat-Bulk | PBE | relaxed
# Distance to the lowest polymorph of the same formula: 52 meV/atom
# Symmetry: C2/c, No. 15
# Formation energy (no corrections): -0.648 eV/atom
data_TaPdS2
_chemical_formula_sum 'Ta2 Pd2 S4'
_cell_length_a 3.258
_cell_length_b 5.747
_cell_length_c 8.014
_cell_angle_alpha 104.12
_cell_angle_beta 101.72
_cell_angle_gamma 90.04
_symmetry_space_group_name_H-M 'P 1'
_symmetry_Int_Tables_number 1
loop_
_symmetry_equiv_pos_as_xyz
'x,y,z'
loop_
_atom_site_label
_atom_site_fract_x
_atom_site_fract_y
_atom_site_fract_z
Ta1 0.542 0.919 0.571
Ta2 0.042 0.419 0.571
Pd1 0.043 0.919 0.071
Pd2 0.043 0.419 0.071
S1 0.142 0.820 0.781
S2 0.943 0.018 0.360
S3 0.432 0.518 0.360
S4 0.653 0.320 0.781

[3]
# Sr4AgAu2 | Alexandria via LeMat-Bulk | PBE | relaxed
# Symmetry: Cm, No. 8
data_Sr4AgAu2
_chemical_formula_sum 'Sr8 Ag2 Au4'
_cell_length_a 7.939
_cell_length_b 7.939
_cell_length_c 8.498
_cell_angle_alpha 105.38
_cell_angle_beta 105.38
_cell_angle_gamma 74.72
_symmetry_space_group_name_H-M 'P 1'
_symmetry_Int_Tables_number 1
loop_
_symmetry_equiv_pos_as_xyz
'x,y,z'
loop_
_atom_site_label
_atom_site_fract_x
_atom_site_fract_y
_atom_site_fract_z
Sr1 0.121 0.121 0.832
Sr2 0.618 0.618 0.339
Sr3 0.125 0.125 0.343
Sr4 0.630 0.141 0.972
Sr5 0.141 0.630 0.972
Sr6 0.615 0.616 0.830
Sr7 0.153 0.642 0.476
Sr8 0.642 0.153 0.476
Ag1 0.835 0.836 0.194
Ag2 0.835 0.835 0.696
Au1 0.340 0.340 0.699
Au2 0.336 0.336 0.194
Au3 0.925 0.432 0.614
Au4 0.432 0.925 0.614

[4]
# Sr2CaSn8 | Alexandria via LeMat-Bulk | PBE | relaxed
# Symmetry: C2/m, No. 12
data_Sr2CaSn8
_chemical_formula_sum 'Sr2 Ca1 Sn8'
_cell_length_a 6.378
_cell_length_b 6.307
_cell_length_c 10.385
_cell_angle_alpha 117.94
_cell_angle_beta 107.88
_cell_angle_gamma 90.00
_symmetry_space_group_name_H-M 'P 1'
_symmetry_Int_Tables_number 1
loop_
_symmetry_equiv_pos_as_xyz
'x,y,z'
loop_
_atom_site_label
_atom_site_fract_x
_atom_site_fract_y
_atom_site_fract_z
Sr1 0.670 0.514 0.341
Sr2 0.330 0.486 0.659
Ca1 0.000 0.000 0.000
Sn1 0.424 0.027 0.342
Sn2 0.918 0.027 0.342
Sn3 0.576 0.973 0.658
Sn4 0.478 0.206 0.956
Sn5 0.082 0.973 0.658
Sn6 0.913 0.426 0.826
Sn7 0.087 0.574 0.174
Sn8 0.522 0.794 0.044

[5]
# La8HRu2 | Alexandria via LeMat-Bulk | PBE | relaxed
# Symmetry: C2/m, No. 12
data_La8HRu2
_chemical_formula_sum 'La8 H1 Ru2'
_cell_length_a 7.021
_cell_length_b 7.281
_cell_length_c 7.472
_cell_angle_alpha 89.15
_cell_angle_beta 118.02
_cell_angle_gamma 90.00
_symmetry_space_group_name_H-M 'P 1'
_symmetry_Int_Tables_number 1
loop_
_symmetry_equiv_pos_as_xyz
'x,y,z'
loop_
_atom_site_label
_atom_site_fract_x
_atom_site_fract_y
_atom_site_fract_z
La1 0.719 0.257 0.928
La2 0.209 0.257 0.928
La3 0.281 0.743 0.072
La4 0.704 0.386 0.408
La5 0.791 0.743 0.072
La6 0.209 0.112 0.418
La7 0.791 0.888 0.582
La8 0.296 0.614 0.592
H1 0.000 0.000 0.000
Ru1 0.116 0.434 0.231
Ru2 0.884 0.566 0.769

[6]
# LiU2Tl2Se6 | Alexandria via LeMat-Bulk | PBE | relaxed
# Symmetry: C2/m, No. 12
# Formation energy (no corrections): -0.972 eV/atom
data_LiU2Tl2Se6
_chemical_formula_sum 'Li1 U2 Tl2 Se6'
_cell_length_a 7.166
_cell_length_b 7.166
_cell_length_c 8.071
_cell_angle_alpha 97.89
_cell_angle_beta 97.89
_cell_angle_gamma 120.53
_symmetry_space_group_name_H-M 'P 1'
_symmetry_Int_Tables_number 1
loop_
_symmetry_equiv_pos_as_xyz
'x,y,z'
loop_
_atom_site_label
_atom_site_fract_x
_atom_site_fract_y
_atom_site_fract_z
Li1 0.000 0.000 0.500
U1 0.334 0.666 0.500
U2 0.666 0.334 0.500
Tl1 0.839 0.161 0.000
Tl2 0.161 0.839 0.000
Se1 0.721 0.721 0.693
Se2 0.061 0.414 0.701
Se3 0.279 0.279 0.307
Se4 0.414 0.061 0.701
Se5 0.939 0.586 0.299
Se6 0.586 0.939 0.299

[7]
# La2HPdAu | Alexandria via LeMat-Bulk | PBE | relaxed
# Distance to the lowest polymorph of the same formula: 0 meV/atom
# Symmetry: P4/mmm, No. 123
data_La2HPdAu
_chemical_formula_sum 'La2 H1 Pd1 Au1'
_cell_length_a 5.290
_cell_length_b 5.290
_cell_length_c 3.810
_cell_angle_alpha 90.00
_cell_angle_beta 90.00
_cell_angle_gamma 90.00
_symmetry_space_group_name_H-M 'P 1'
_symmetry_Int_Tables_number 1
loop_
_symmetry_equiv_pos_as_xyz
'x,y,z'
loop_
_atom_site_label
_atom_site_fract_x
_atom_site_fract_y
_atom_site_fract_z
H1 0.000 0.000 0.000
Au1 0.500 0.500 0.500
Pd1 0.000 0.000 0.500
La1 0.000 0.500 0.000
La2 0.500 0.000 0.000

[8]
# YTa2As | Alexandria via LeMat-Bulk | PBE | relaxed
# Symmetry: Pm, No. 6
data_YTa2As
_chemical_formula_sum 'Y1 Ta2 As1'
_cell_length_a 4.320
_cell_length_b 3.503
_cell_length_c 5.766
_cell_angle_alpha 72.48
_cell_angle_beta 90.00
_cell_angle_gamma 90.00
_symmetry_space_group_name_H-M 'P 1'
_symmetry_Int_Tables_number 1
loop_
_symmetry_equiv_pos_as_xyz
'x,y,z'
loop_
_atom_site_label
_atom_site_fract_x
_atom_site_fract_y
_atom_site_fract_z
Y1 0.000 0.521 0.579
As1 0.500 0.941 0.741
Ta1 0.000 0.789 0.049
Ta2 0.500 0.248 0.131

[9]
# SbP3 | Alexandria via LeMat-Bulk | PBE | relaxed
# Distance to the lowest polymorph of the same formula: 15 meV/atom
# Symmetry: P2/m, No. 10
# Formation energy (no corrections): 0.213 eV/atom
data_SbP3
_chemical_formula_sum 'Sb1 P3'
_cell_length_a 3.709
_cell_length_b 4.384
_cell_length_c 4.956
_cell_angle_alpha 75.14
_cell_angle_beta 90.00
_cell_angle_gamma 90.00
_symmetry_space_group_name_H-M 'P 1'
_symmetry_Int_Tables_number 1
loop_
_symmetry_equiv_pos_as_xyz
'x,y,z'
loop_
_atom_site_label
_atom_site_fract_x
_atom_site_fract_y
_atom_site_fract_z
P1 0.000 0.030 0.923
P2 0.500 0.750 0.750
P3 0.000 0.470 0.577
Sb1 0.500 0.250 0.250

[10]
# CeCd6 | Alexandria via LeMat-Bulk | PBE | relaxed
# Distance to the lowest polymorph of the same formula: 486 meV/atom
# Symmetry: Im-3m, No. 229
data_CeCd6
_chemical_formula_sum 'Ce1 Cd6'
_cell_length_a 6.650
_cell_length_b 6.650
_cell_length_c 6.650
_cell_angle_alpha 109.47
_cell_angle_beta 109.47
_cell_angle_gamma 109.47
_symmetry_space_group_name_H-M 'P 1'
_symmetry_Int_Tables_number 1
loop_
_symmetry_equiv_pos_as_xyz
'x,y,z'
loop_
_atom_site_label
_atom_site_fract_x
_atom_site_fract_y
_atom_site_fract_z
Ce1 0.000 0.000 0.000
Cd1 0.250 0.750 0.500
Cd2 0.500 0.750 0.250
Cd3 0.250 0.500 0.750
Cd4 0.750 0.250 0.500
Cd5 0.500 0.250 0.750
Cd6 0.750 0.500 0.250

[11]
# PmHfPb2 | Alexandria via LeMat-Bulk | PBE | relaxed
# Symmetry: P4/mmm, No. 123
data_PmHfPb2
_chemical_formula_sum 'Pm1 Hf1 Pb2'
_cell_length_a 3.413
_cell_length_b 3.413
_cell_length_c 9.014
_cell_angle_alpha 90.00
_cell_angle_beta 90.00
_cell_angle_gamma 90.00
_symmetry_space_group_name_H-M 'P 1'
_symmetry_Int_Tables_number 1
loop_
_symmetry_equiv_pos_as_xyz
'x,y,z'
loop_
_atom_site_label
_atom_site_fract_x
_atom_site_fract_y
_atom_site_fract_z
Pb1 0.000 0.000 0.767
Pb2 0.000 0.000 0.233
Hf1 0.500 0.500 0.000
Pm1 0.500 0.500 0.500

[12]
# K5TlI6 | Alexandria via LeMat-Bulk | PBE | relaxed
# Symmetry: C2/m, No. 12
# Formation energy (no corrections): -1.347 eV/atom
data_K5TlI6
_chemical_formula_sum 'K5 Tl1 I6'
_cell_length_a 8.765
_cell_length_b 8.768
_cell_length_c 8.768
_cell_angle_alpha 60.00
_cell_angle_beta 80.39
_cell_angle_gamma 70.49
_symmetry_space_group_name_H-M 'P 1'
_symmetry_Int_Tables_number 1
loop_
_symmetry_equiv_pos_as_xyz
'x,y,z'
loop_
_atom_site_label
_atom_site_fract_x
_atom_site_fract_y
_atom_site_fract_z
K1 0.500 0.165 0.669
K2 0.000 0.333 0.334
K3 0.500 0.500 0.000
K4 0.000 0.667 0.666
K5 0.500 0.835 0.331
Tl1 0.000 0.000 0.000
I1 0.750 0.083 0.333
I2 0.250 0.584 0.333
I3 0.249 0.251 0.000
I4 0.751 0.749 0.000
I5 0.750 0.416 0.667
I6 0.250 0.917 0.667

no.,E (eV/atom)
1,-3.1382
2,-6.9731
3,-2.8445
4,-3.7472
5,-5.7658
6,-5.5293
7,-5.0249
8,-8.9299
9,-4.8753
10,-1.2496
11,-5.7012
12,-2.7769